VASP calculation (PBE) on a relaxed structure of CrIn2Co.

The volume is 17.062 A^3/atom. The calculation puts the formation energy from the elements at 0.284 eV/atom. As for the total energy: -5.267 eV per atom. The excess energy over the best structure of this formula in the dataset is 30.9 meV per atom. Its space group is P4/mmm.

Unit cell a=3.1273 b=3.1273 c=6.9782 alpha=90.00 beta=90.00 gamma=90.00
Each line ends with the local moment (μB).
Element x y z (fractional)
Co  0.5000  0.5000  0.2500  0.75
Cr  0.5000  0.5000  0.7500  3.39
In  0.0000  0.0000  0.0237  -0.07
In  0.0000  0.0000  0.4763  -0.07

***

VASP calculation (PBE) on a relaxed structure of CrIn3Co.

The volume is 23.619 A^3/atom. The calculation puts the formation energy from the elements at 0.442 eV/atom. As for the total energy: -4.547 eV per atom. The excess energy over the best structure of this formula in the dataset is 0.0 meV per atom. Its space group is Pm-3m.

Unit cell a=4.9062 b=4.9062 c=4.9062 alpha=90.00 beta=90.00 gamma=90.00
Each line ends with the local moment (μB).
Element x y z (fractional)
Cr  0.5000  0.5000  0.5000  4.17
Co  0.0000  0.0000  0.0000  0.43
In  0.0000  0.5000  0.0000  -0.02
In  0.0000  0.0000  0.5000  -0.01
In  0.5000  0.0000  0.0000  -0.01

***

VASP calculation (PBE) on a relaxed structure of Cr2InCo.

The volume is 14.303 A^3/atom. The calculation puts the formation energy from the elements at 0.348 eV/atom. As for the total energy: -6.924 eV per atom. Its space group is Pmmm.

Unit cell a=3.4604 b=2.9571 c=6.3259 alpha=62.11 beta=90.00 gamma=90.00
Each line ends with the local moment (μB).
Element x y z (fractional)
Co  0.5000  0.7500  0.7500  1.24
Cr  0.0000  0.0692  0.9316  0.40
Cr  0.0000  0.4308  0.5684  0.40
In  0.5000  0.2500  0.2500  -0.01